SrZr2Ru after structural relaxation. Source: the Alexandria database, functional GGA-PBEsol.

Properties
polymorph energy (0 for the lowest one) = 104 meV/atom
formation enthalpy at 0 K = 173 meV/atom

Unit cell a=3.3346 b=4.0965 c=7.2725 alpha=90.00 beta=90.00 gamma=90.00
With the nearest neighbours (Å) after each atom.
Sites, in units of the cell vectors:
Sr: 0.0000 0.0000 0.0000  1 Zr 3.23, 2 Sr 3.33, 4 Ru 3.53
Zr: 0.0000 0.0000 0.5564  4 Ru 2.78, 4 Zr 3.06
Zr: 0.5000 0.5000 0.3436  1 Ru 2.43
Ru: 0.5000 0.5000 0.6772  1 Zr 2.43

RuSeN2Cl after structural relaxation. Source: the Alexandria database, functional GGA-PBEsol.

Properties
E_form (uncorrected) = 2.29 eV per atom

Unit cell a=3.5001 b=3.5001 c=5.9097 alpha=90.00 beta=90.00 gamma=90.00
With the nearest neighbours (Å) after each atom.
Sites, in units of the cell vectors:
Ru: 0.0000 0.0000 0.0000  4 Se 2.47
Se: 0.5000 0.5000 0.0000  4 Ru 2.47
N: 0.0000 0.5000 0.5000  2 Cl 1.75
N: 0.5000 0.0000 0.5000  2 Cl 1.75
Cl: 0.5000 0.5000 0.5000  4 N 1.75

Os3Rh after structural relaxation. Source: the Alexandria database, functional GGA-PBEsol.

Properties
formation enthalpy at 0 K = 22 meV/atom

Unit cell a=5.4301 b=9.4457 c=4.3025 alpha=90.00 beta=90.00 gamma=90.00
With the nearest neighbours (Å) after each atom.
Sites, in units of the cell vectors:
Os: 0.0000 0.0838 0.2500  10 Os 2.67-2.74, 2 Rh 2.72
Os: 0.0000 0.9162 0.7500  10 Os 2.67-2.74, 2 Rh 2.72
Os: 0.2472 0.3328 0.2500  8 Os 2.66-2.75, 4 Rh 2.66-2.74
Os: 0.2472 0.6672 0.7500  8 Os 2.66-2.75, 4 Rh 2.66-2.74
Os: 0.2528 0.1672 0.7500  8 Os 2.66-2.75, 4 Rh 2.66-2.74
Os: 0.2528 0.8328 0.2500  8 Os 2.66-2.75, 4 Rh 2.66-2.74
Os: 0.5000 0.4162 0.7500  10 Os 2.67-2.74, 2 Rh 2.72
Os: 0.5000 0.5838 0.2500  10 Os 2.67-2.74, 2 Rh 2.72
Os: 0.7472 0.1672 0.7500  8 Os 2.66-2.75, 4 Rh 2.66-2.74
Os: 0.7472 0.8328 0.2500  8 Os 2.66-2.75, 4 Rh 2.66-2.74
Os: 0.7528 0.3328 0.2500  8 Os 2.66-2.75, 4 Rh 2.66-2.74
Os: 0.7528 0.6672 0.7500  8 Os 2.66-2.75, 4 Rh 2.66-2.74
Rh: 0.0000 0.4180 0.7500  2 Rh 2.65, 10 Os 2.66-2.74
Rh: 0.0000 0.5820 0.2500  2 Rh 2.65, 10 Os 2.66-2.74
Rh: 0.5000 0.0820 0.2500  2 Rh 2.65, 10 Os 2.66-2.74
Rh: 0.5000 0.9180 0.7500  2 Rh 2.65, 10 Os 2.66-2.74